Entry P
Below is TlCd4Ag after structural relaxation, with properties calculated at the PBE-GGA level.

Calculated values
Total magnetic moment = 0.0000 μB/atom
Symmetry = F-43m, No. 216
D(E_F) = 0.9 states/eV per cell

Lattice parameters (Å, degrees): 5.863 5.863 5.863 60.00 60.00 60.00
Fractional positions:
Tl1 0.000 0.000 0.000
Cd1 0.375 0.375 0.375
Cd2 0.375 0.375 0.874
Cd3 0.375 0.874 0.375
Cd4 0.874 0.375 0.375
Ag1 0.750 0.750 0.750

---

Entry Q
Below is TlCd4Ag after structural relaxation, with properties calculated at the PBE-GGA level.

Calculated values
Total magnetic moment = 0.0000 μB/atom
Symmetry = Pmma, No. 51
D(E_F) = 3.5 states/eV per cell

Lattice parameters (Å, degrees): 9.543 3.715 7.989 90.00 90.00 90.00
Fractional positions:
Tl1 0.250 0.000 0.071
Tl2 0.750 0.000 0.929
Cd1 0.000 0.000 0.500
Cd2 0.029 0.500 0.816
Cd3 0.250 0.500 0.406
Cd4 0.471 0.500 0.816
Cd5 0.500 0.000 0.500
Cd6 0.529 0.500 0.184
Cd7 0.750 0.500 0.594
Cd8 0.971 0.500 0.184
Ag1 0.250 0.000 0.697
Ag2 0.750 0.000 0.303

---

Which one sits at the bottom of the stability order? entry P does.

---

Entry P
Below is Tm2Cd3Ag2 after structural relaxation, with properties calculated at the PBE-GGA level.

Calculated values
Total magnetic moment = 0.0000 μB/atom
Symmetry = Cmmm, No. 65
D(E_F) = 3.7 states/eV per cell

Lattice parameters (Å, degrees): 10.530 10.530 3.437 90.00 90.00 154.93
Fractional positions:
Tm1 0.162 0.838 0.000
Tm2 0.838 0.162 0.000
Cd1 0.000 0.000 0.000
Cd2 0.427 0.573 0.500
Cd3 0.573 0.427 0.500
Ag1 0.289 0.711 0.500
Ag2 0.711 0.289 0.500

---

Entry Q
Below is Tm2Cd3Ag2 after structural relaxation, with properties calculated at the PBE-GGA level.

Calculated values
Total magnetic moment = 0.0000 μB/atom
Symmetry = C2/m, No. 12
D(E_F) = 4.2 states/eV per cell

Lattice parameters (Å, degrees): 5.475 5.475 7.316 108.07 108.07 50.06
Fractional positions:
Tm1 0.135 0.135 0.272
Tm2 0.865 0.865 0.728
Cd1 0.379 0.379 0.066
Cd2 0.500 0.500 0.500
Cd3 0.621 0.621 0.934
Ag1 0.160 0.160 0.696
Ag2 0.840 0.840 0.304

---

Which one sits at the bottom of the stability order? entry P does.

---

Entry P
Below is Tm4CdAg2 after structural relaxation, with properties calculated at the PBE-GGA level.

Calculated values
Total magnetic moment = 0.0004 μB/atom
Symmetry = R-3m, No. 166
D(E_F) = 9.2 states/eV per cell

Lattice parameters (Å, degrees): 9.709 9.709 9.709 29.35 29.35 29.35
Fractional positions:
Tm1 0.119 0.119 0.119
Tm2 0.295 0.295 0.295
Tm3 0.705 0.705 0.705
Tm4 0.881 0.881 0.881
Cd1 0.500 0.500 0.500
Ag1 0.400 0.400 0.400
Ag2 0.600 0.600 0.600

---

Entry Q
Below is Tm4CdAg2 after structural relaxation, with properties calculated at the PBE-GGA level.

Calculated values
Total magnetic moment = 0.0000 μB/atom
Symmetry = R-3m, No. 166
D(E_F) = 5.0 states/eV per cell

Lattice parameters (Å, degrees): 8.632 8.632 8.632 34.19 34.19 34.19
Fractional positions:
Tm1 0.118 0.118 0.118
Tm2 0.371 0.371 0.371
Tm3 0.629 0.629 0.629
Tm4 0.882 0.882 0.882
Cd1 0.500 0.500 0.500
Ag1 0.247 0.247 0.247
Ag2 0.753 0.753 0.753

---

Which one sits at the bottom of the stability order? entry P does.